No. 1
# GGA-PBE Li6Cu2Ni, optimized geometry
# DFT formation energy: 23 meV/atom
# crystal system: monoclinic
# magnetization: 0.00 Bohr magnetons per cell
data_Li6Cu2Ni
_chemical_formula_sum 'Li12 Cu4 Ni2'
_space_group_name_H-M_alt 'C 1 2/m 1'
_space_group_IT_number 12
_cell_length_a 6.971
_cell_length_b 13.594
_cell_length_c 2.726
_cell_angle_alpha 90.00
_cell_angle_beta 99.18
_cell_angle_gamma 90.00
loop_
_space_group_symop_operation_xyz
'x,y,z'
'-x,-y,-z'
'-x,y,-z'
'x,-y,z'
'x+1/2,y+1/2,z'
'-x+1/2,-y+1/2,-z'
'-x+1/2,y+1/2,-z'
'x+1/2,-y+1/2,z'
loop_
_atom_site_label
_atom_site_fract_x
_atom_site_fract_y
_atom_site_fract_z
Li1 0.175 0.173 0.337
Li2 0.195 0.000 0.857
Cu1 0.000 0.348 0.000
Ni1 0.000 0.500 0.500

=====

No. 2
# GGA-PBE Li2Cu6Ni, optimized geometry
# energy above the lowest structure with this stoichiometry: 11.8 kJ per mole of atoms
# DFT formation energy: 179 meV/atom
# crystal system: trigonal
# magnetization: 0.00 Bohr magnetons per cell
data_Li2Cu6Ni
_chemical_formula_sum 'Li6 Cu18 Ni3'
_space_group_name_H-M_alt 'R 3 m'
_space_group_IT_number 160
_space_group_name_Hall 'R 3 -2"'
_cell_length_a 5.0106
_cell_length_b 5.0106
_cell_length_c 17.4284
_cell_angle_alpha 90.00
_cell_angle_beta 90.00
_cell_angle_gamma 120.00
loop_
_atom_site_label
_atom_site_fract_x
_atom_site_fract_y
_atom_site_fract_z
Li1 0.0000 0.0000 0.0000
Li2 0.0000 0.0000 0.1496
Cu1 0.9997 0.4999 0.1871
Cu2 0.0075 0.5038 0.9692
Ni1 0.0000 0.0000 0.7443

=====

No. 3
# GGA-PBE Li4Cu3Ni2, optimized geometry
# DFT formation energy: -18 meV/atom
# crystal system: monoclinic
# magnetization: 0.00 Bohr magnetons per cell
data_Li4Cu3Ni2
_chemical_formula_sum 'Li8 Cu6 Ni4'
_space_group_name_H-M_alt 'C 1 2/m 1'
_space_group_IT_number 12
_cell_length_a 11.365
_cell_length_b 2.559
_cell_length_c 7.833
_cell_angle_alpha 90.00
_cell_angle_beta 104.03
_cell_angle_gamma 90.00
loop_
_space_group_symop_operation_xyz
'x,y,z'
'-x,-y,-z'
'-x,y,-z'
'x,-y,z'
'x+1/2,y+1/2,z'
'-x+1/2,-y+1/2,-z'
'-x+1/2,y+1/2,-z'
'x+1/2,-y+1/2,z'
loop_
_atom_site_label
_atom_site_fract_x
_atom_site_fract_y
_atom_site_fract_z
Li1 0.014 0.000 0.345
Li2 0.166 0.500 0.887
Cu1 0.000 0.000 0.000
Cu2 0.182 0.500 0.573
Ni1 0.161 0.500 0.212

=====

No. 4
# GGA-PBE Li4Cu19Ni6, optimized geometry
# DFT formation energy: 260 meV/atom
# crystal system: cubic
# magnetization: 0.00 Bohr magnetons per cell
data_Li4Cu19Ni6
_chemical_formula_sum 'Li8 Cu38 Ni12'
_space_group_name_H-M_alt 'I 2 3'
_space_group_IT_number 197
_space_group_name_Hall 'I 2 2 3'
_cell_length_a 9.017
_cell_length_b 9.017
_cell_length_c 9.017
_cell_angle_alpha 90.00
_cell_angle_beta 90.00
_cell_angle_gamma 90.00
loop_
_atom_site_label
_atom_site_fract_x
_atom_site_fract_y
_atom_site_fract_z
Li1 0.177 0.177 0.177
Cu1 0.000 0.000 0.000
Cu2 0.000 0.000 0.269
Cu3 0.065 0.269 0.733
Ni1 0.000 0.131 0.500

=====

| no. | N(E_F) (states/eV/f.u.) |
| --- | --- |
| 1 | 3.76 |
| 2 | 3.30 |
| 3 | 4.79 |
| 4 | 13.39 |